# 1
Here is a relaxed U3Tc7 crystal from Alexandria. Energies are from PBE.

a b c (Å): 15.191 4.075 5.748
angles (deg): 90.00 107.66 90.00
Space group C2/m (No. 12)
Symmetry-distinct sites (fractional):
U 0.000 0.000 0.000 [2 per cell]
U 0.182 0.000 0.631 [4 per cell]
Tc 0.000 0.000 0.500 [2 per cell]
Tc 0.097 0.500 0.320 [4 per cell]
Tc 0.100 0.500 0.838 [4 per cell]
Tc 0.208 0.000 0.133 [4 per cell]

Total magnetization   0.000 Bohr magnetons per cell
Electronic total energy   -10.66 eV/atom
DFT formation energy   -16 meV/atom

# 2
Here is a relaxed PHRuS crystal from Alexandria. Energies are from PBE.

a b c (Å): 2.892 3.715 6.423
angles (deg): 97.00 90.47 112.90
Space group P1 (No. 1)
Symmetry-distinct sites (fractional):
P 0.000 0.000 0.000 [1 per cell]
H 0.957 0.923 0.775 [1 per cell]
Ru 0.312 0.618 0.186 [1 per cell]
S 0.654 0.292 0.405 [1 per cell]

Total magnetization   0.000 Bohr magnetons per cell
Electronic total energy   -5.71 eV/atom
ΔE to the lowest computed polymorph   0.0282 eV/atom

# 3
Here is a relaxed AcEr2Pa crystal from Alexandria. Energies are from PBE.

a b c (Å): 3.4858 3.4858 37.0059
angles (deg): 90.00 90.00 120.00
Space group R-3m (No. 166, hexagonal axes)
Symmetry-distinct sites (fractional):
Ac 0.0000 0.0000 0.0000 [3 per cell]
Er 0.0000 0.0000 0.0951 [6 per cell]
Pa 0.0000 0.0000 0.5000 [3 per cell]

Total magnetization   0.000 Bohr magnetons per cell
Electronic total energy   -5.43 eV/atom
DFT formation energy   251 meV/atom

# 4
Here is a relaxed NbB4Ru crystal from Alexandria. Energies are from PBE.

a b c (Å): 5.774 11.495 3.363
angles (deg): 90.00 90.00 90.00
Space group Pbam (No. 55)
Symmetry-distinct sites (fractional):
Nb 0.150 0.163 0.000 [4 per cell]
B 0.015 0.696 0.500 [4 per cell]
B 0.117 0.551 0.500 [4 per cell]
B 0.129 0.972 0.500 [4 per cell]
B 0.195 0.812 0.500 [4 per cell]
Ru 0.149 0.409 0.000 [4 per cell]

Total magnetization   0.000 Bohr magnetons per cell
Electronic total energy   -7.98 eV/atom
DFT formation energy   -300 meV/atom

# 5
Here is a relaxed ScTa2Te crystal from Alexandria. Energies are from PBE.

a b c (Å): 4.017 4.017 9.872
angles (deg): 90.00 90.00 90.00
Space group I4/mmm (No. 139)
Symmetry-distinct sites (fractional):
Sc 0.000 0.000 0.000 [2 per cell]
Ta 0.000 0.500 0.250 [4 per cell]
Te 0.000 0.000 0.500 [2 per cell]

Total magnetization   0.000 Bohr magnetons per cell
Electronic total energy   -8.23 eV/atom
ΔE to the lowest computed polymorph   0.1831 eV/atom
ΔE_f (raw)   0.062 eV per atom

# 6
Here is a relaxed Be2NbRh2 crystal from Alexandria. Energies are from PBE.

a b c (Å): 6.809 6.809 2.781
angles (deg): 90.00 90.00 90.00
Space group P4/mbm (No. 127)
Symmetry-distinct sites (fractional):
Be 0.150 0.350 0.000 [4 per cell]
Nb 0.000 0.000 0.500 [2 per cell]
Rh 0.145 0.645 0.500 [4 per cell]

Total magnetization   0.676 Bohr magnetons per cell
Electronic total energy   -6.78 eV/atom
ΔE to the lowest computed polymorph   0.1614 eV/atom
DFT formation energy   -335 meV/atom

# 7
Here is a relaxed DyUCo2 crystal from Alexandria. Energies are from PBE.

a b c (Å): 3.273 3.273 6.741
angles (deg): 90.00 90.00 90.00
Space group P4/mmm (No. 123)
Symmetry-distinct sites (fractional):
Dy 0.000 0.000 0.000 [1 per cell]
U 0.000 0.000 0.500 [1 per cell]
Co 0.500 0.500 0.302 [2 per cell]

Total magnetization   0.620 Bohr magnetons per cell
Electronic total energy   -7.65 eV/atom
DFT formation energy   -120 meV/atom

# 8
Here is a relaxed AcBPt2 crystal from Alexandria. Energies are from PBE.

a b c (Å): 5.721 11.132 5.517
angles (deg): 90.00 118.36 90.00
Space group C2/c (No. 15)
Symmetry-distinct sites (fractional):
Ac 0.000 0.118 0.250 [4 per cell]
B 0.000 0.494 0.250 [4 per cell]
Pt 0.158 0.368 0.067 [8 per cell]

Total magnetization   0.000 Bohr magnetons per cell
Electronic total energy   -6.40 eV/atom
ΔE to the lowest computed polymorph   0.1757 eV/atom
DFT formation energy   -682 meV/atom

# 9
Here is a relaxed TlSbRhO6 crystal from Alexandria. Energies are from PBE.

a b c (Å): 5.3115 5.3115 9.5898
angles (deg): 90.00 90.00 120.00
Space group P-31c (No. 163)
Symmetry-distinct sites (fractional):
Tl 0.0000 0.0000 0.0000 [2 per cell]
Sb 0.3333 0.6667 0.2500 [2 per cell]
Rh 0.3333 0.6667 0.7500 [2 per cell]
O 0.0026 0.3665 0.6359 [12 per cell]

Total magnetization   2.009 Bohr magnetons per cell
Electronic total energy   -5.79 eV/atom
ΔE_f (raw)   -0.947 eV per atom

# 10
Here is a relaxed TaMn2Ni6 crystal from Alexandria. Energies are from PBE.

a b c (Å): 4.9319 4.9319 5.6261
angles (deg): 90.00 90.00 120.00
Space group P-3m1 (No. 164)
Symmetry-distinct sites (fractional):
Ta 0.0000 0.0000 0.0000 [1 per cell]
Mn 0.3333 0.6667 0.8777 [2 per cell]
Ni 0.1752 0.3505 0.3305 [6 per cell]

Total magnetization   8.815 Bohr magnetons per cell
Electronic total energy   -7.14 eV/atom
DFT formation energy   71 meV/atom

# 11
Here is a relaxed AcOs2Cl2O7 crystal from Alexandria. Energies are from PBE.

a b c (Å): 5.554 5.565 14.160
angles (deg): 90.00 94.29 90.00
Space group C2/m (No. 12)
Symmetry-distinct sites (fractional):
Ac 0.000 0.000 0.000 [2 per cell]
Os 0.030 0.500 0.157 [4 per cell]
Cl 0.114 0.000 0.558 [4 per cell]
O 0.000 0.500 0.000 [2 per cell]
O 0.055 0.500 0.279 [4 per cell]
O 0.225 0.250 0.870 [8 per cell]

Total magnetization   6.209 Bohr magnetons per cell
Electronic total energy   -6.60 eV/atom
ΔE_f (raw)   -1.188 eV per atom

# 12
Here is a relaxed K2AgBr2Cl2 crystal from Alexandria. Energies are from PBE.

a b c (Å): 5.144 5.144 16.607
angles (deg): 90.00 90.00 90.00
Space group I4/mmm (No. 139)
Symmetry-distinct sites (fractional):
K 0.000 0.000 0.133 [4 per cell]
Ag 0.000 0.000 0.500 [2 per cell]
Br 0.000 0.000 0.335 [4 per cell]
Cl 0.000 0.500 0.000 [4 per cell]

Total magnetization   0.000 Bohr magnetons per cell
Electronic total energy   -2.91 eV/atom
ΔE_f (raw)   -1.181 eV per atom